Entry 1:
5
Lattice="4.918 0.000 0.000 0.000 4.918 0.000 0.000 0.000 5.156" Properties=species:S:1:pos:R:3 comment="KMgGa2Tc (PBE, optimized geometry)" delta_e_f_ev_per_atom=0.0425 m_tot_mub_per_fu=0.00 pbc="T T T"
K 0.000 0.000 0.000
Mg 2.459 2.459 0.000
Ga 0.000 2.459 2.578
Ga 2.459 0.000 2.578
Tc 2.459 2.459 2.578

---

Entry 2:
4
Lattice="0.000 3.652 3.652 3.652 0.000 3.652 3.652 3.652 0.000" Properties=species:S:1:pos:R:3 comment="Hf2ThZr (PBE, optimized geometry)" delta_e_f_ev_per_atom=0.1575 m_tot_mub_per_fu=0.00 polymorph_energy_mev_per_atom=39 pbc="T T T"
Hf 1.826 1.826 1.826
Hf 5.478 5.478 5.478
Th 0.000 0.000 0.000
Zr 3.652 3.652 3.652

---

Entry 3:
28
Lattice="4.074 0.000 0.000 0.000 14.139 0.000 -0.002 0.000 13.217" Properties=species:S:1:pos:R:3 comment="Ag4Se2I (PBE, optimized geometry)" m_tot_mub_per_fu=0.00 polymorph_energy_mev_per_atom=0 raw_formation_energy_ev_per_atom=-0.061 pbc="T T T"
Ag 1.014 2.767 3.300
Ag 1.013 4.303 9.909
Ag 1.017 7.773 7.385
Ag 1.016 7.776 12.445
Ag 1.020 10.604 0.006
Ag 1.019 10.605 6.615
Ag 1.018 13.436 0.776
Ag 1.017 13.433 5.836
Ag 3.054 0.707 7.381
Ag 3.053 0.704 12.441
Ag 3.051 3.535 13.212
Ag 3.053 3.534 6.603
Ag 3.055 6.363 0.772
Ag 3.054 6.366 5.833
Ag 3.059 9.837 3.308
Ag 3.058 11.372 9.917
Se 1.017 1.963 0.828
Se 1.016 1.960 5.772
Se 1.016 5.107 7.437
Se 1.015 5.110 12.381
Se 3.057 9.029 0.837
Se 3.055 9.032 5.781
Se 3.056 12.179 7.445
Se 3.054 12.177 12.389
I 1.024 9.076 9.915
I 1.025 12.133 3.306
I 3.046 2.006 9.912
I 3.047 5.063 3.303

---

Entry 4:
5
Lattice="4.825 0.000 0.000 0.000 4.825 0.000 0.000 0.000 4.825" Properties=species:S:1:pos:R:3 comment="BaNi3Au (PBE, optimized geometry)" delta_e_f_ev_per_atom=0.5187 m_tot_mub_per_fu=0.03 polymorph_energy_mev_per_atom=0 pbc="T T T"
Ba 0.000 0.000 0.000
Ni 0.000 2.412 2.412
Ni 2.412 0.000 2.412
Ni 2.412 2.412 0.000
Au 2.412 2.412 2.412

---

Entry 5:
4
Lattice="2.718 0.000 0.000 0.000 3.052 0.000 0.000 0.000 6.324" Properties=species:S:1:pos:R:3 comment="LiAsHOs (PBE, optimized geometry)" m_tot_mub_per_fu=0.00 polymorph_energy_mev_per_atom=193 pbc="T T T"
Li 0.000 0.000 0.000
As 1.359 0.000 3.817
H 1.359 1.526 0.201
Os 1.359 1.526 1.921

---

Entry 6:
5
Lattice="5.605 0.000 0.000 0.000 5.605 0.000 0.000 0.000 5.605" Properties=species:S:1:pos:R:3 comment="BaSi3Sn (PBE, optimized geometry)" m_tot_mub_per_fu=0.00 polymorph_energy_mev_per_atom=1072 raw_formation_energy_ev_per_atom=1.657 pbc="T T T"
Ba 0.000 0.000 0.000
Si 0.000 0.000 2.803
Si 0.000 2.803 0.000
Si 2.803 0.000 0.000
Sn 2.803 2.803 2.803

---

Entry 7:
3
Lattice="4.063 0.000 0.000 -2.032 3.519 0.000 0.000 0.000 2.898" Properties=species:S:1:pos:R:3 comment="CuGeRu (PBE, optimized geometry)" delta_e_f_ev_per_atom=0.0172 m_tot_mub_per_fu=0.00 polymorph_energy_mev_per_atom=0 pbc="T T T"
Cu 0.000 0.000 0.000
Ge 2.032 1.173 0.552
Ru 0.000 2.346 1.498

---

Entry 8:
7
Lattice="2.766 1.597 9.105 -2.766 1.597 9.105 0.000 -3.194 9.105" Properties=species:S:1:pos:R:3 comment="BaNa2Bi2Pb2 (PBE, optimized geometry)" delta_e_f_ev_per_atom=-0.3773 m_tot_mub_per_fu=0.00 pbc="T T T"
Ba 0.000 0.000 0.000
Na 0.000 0.000 3.871
Na 0.000 0.000 23.445
Bi 0.000 0.000 7.064
Bi 0.000 0.000 20.252
Pb 0.000 0.000 11.910
Pb 0.000 0.000 15.406

---

Entry 9:
5
Lattice="5.097 0.000 0.000 0.000 5.097 0.000 0.000 0.000 5.305" Properties=species:S:1:pos:R:3 comment="LaMg2ScGa (PBE, optimized geometry)" delta_e_f_ev_per_atom=0.0633 m_tot_mub_per_fu=0.17 pbc="T T T"
La 0.000 0.000 0.000
Mg 0.000 2.548 2.652
Mg 2.548 0.000 2.652
Sc 2.548 2.548 0.000
Ga 2.548 2.548 2.652

---

Entry 10:
18
Lattice="7.715 -3.749 0.000 7.715 3.749 0.000 0.000 0.000 7.673" Properties=species:S:1:pos:R:3 comment="Dy5Ag2Ir2 (PBE, optimized geometry)" delta_e_f_ev_per_atom=-0.5708 m_tot_mub_per_fu=0.00 pbc="T T T"
Dy 0.000 0.000 0.000
Dy 5.810 2.499 5.129
Dy 5.810 1.250 1.292
Dy 9.621 2.499 5.129
Dy 9.621 1.250 1.292
Dy 7.715 0.000 3.837
Dy 5.810 -1.250 6.381
Dy 5.810 -2.499 2.544
Dy 9.621 -1.250 6.381
Dy 9.621 -2.499 2.544
Ag 3.246 0.000 0.000
Ag 4.469 0.000 3.837
Ag 10.961 0.000 3.837
Ag 12.185 0.000 0.000
Ir 7.715 2.732 2.797
Ir 7.715 1.017 6.634
Ir 7.715 -1.017 1.039
Ir 7.715 -2.732 4.876

---

Entry 11:
5
Lattice="4.581 0.000 0.000 0.000 4.581 0.000 0.000 0.000 4.720" Properties=species:S:1:pos:R:3 comment="YCrGe2W (PBE, optimized geometry)" delta_e_f_ev_per_atom=0.4378 m_tot_mub_per_fu=0.00 pbc="T T T"
Y 0.000 0.000 0.000
Cr 2.291 2.291 2.360
Ge 0.000 2.291 2.360
Ge 2.291 0.000 2.360
W 2.291 2.291 0.000

---

Entry 12:
4
Lattice="4.549 0.000 0.000 0.000 4.549 0.000 0.000 0.000 2.953" Properties=species:S:1:pos:R:3 comment="CrMo2Br (PBE, optimized geometry)" m_tot_mub_per_fu=1.16 polymorph_energy_mev_per_atom=318 raw_formation_energy_ev_per_atom=0.810 pbc="T T T"
Cr 0.000 0.000 0.000
Mo 0.000 2.275 1.477
Mo 2.275 0.000 1.477
Br 2.275 2.275 0.000

---

Entry 13:
4
Lattice="2.861 -4.729 0.000 2.861 4.729 0.000 0.000 0.000 2.822" Properties=species:S:1:pos:R:3 comment="ZrCd2Co (PBE, optimized geometry)" delta_e_f_ev_per_atom=0.2479 m_tot_mub_per_fu=1.50 polymorph_energy_mev_per_atom=320 pbc="T T T"
Zr 0.000 0.000 0.000
Cd 1.431 2.365 1.411
Cd 1.431 -2.365 1.411
Co 2.861 0.000 0.000

---

Entry 14:
4
Lattice="2.688 -4.426 0.000 2.688 4.426 0.000 -0.935 0.000 2.545" Properties=species:S:1:pos:R:3 comment="TaMnRe2 (PBE, optimized geometry)" delta_e_f_ev_per_atom=-0.0147 m_tot_mub_per_fu=2.27 pbc="T T T"
Ta 0.000 0.000 0.000
Mn 2.688 0.000 0.000
Re 0.877 2.213 1.273
Re 0.877 -2.213 1.273

---

Entry 15:
4
Lattice="-1.947 1.947 3.808 1.947 -1.947 3.808 1.947 1.947 -3.808" Properties=species:S:1:pos:R:3 comment="TcRu2Pt (PBE, optimized geometry)" delta_e_f_ev_per_atom=-0.0120 m_tot_mub_per_fu=0.00 polymorph_energy_mev_per_atom=63 pbc="T T T"
Tc 0.000 0.000 0.000
Ru 1.947 0.000 1.904
Ru 0.000 1.947 1.904
Pt 0.000 0.000 3.808

---

Entry 16:
5
Lattice="5.993 0.000 0.000 0.000 5.993 0.000 0.000 0.000 5.545" Properties=species:S:1:pos:R:3 comment="KCdI2Br (PBE, optimized geometry)" m_tot_mub_per_fu=0.00 polymorph_energy_mev_per_atom=89 raw_formation_energy_ev_per_atom=-0.937 pbc="T T T"
K 0.000 0.000 0.000
Cd 2.997 2.997 2.772
I 0.000 2.997 2.772
I 2.997 0.000 2.772
Br 2.997 2.997 0.000

---

Entry 17:
4
Lattice="4.507 0.000 0.000 0.000 3.717 0.000 -0.778 0.000 5.757" Properties=species:S:1:pos:R:3 comment="KCo2As (PBE, optimized geometry)" delta_e_f_ev_per_atom=0.3496 m_tot_mub_per_fu=0.06 pbc="T T T"
K 0.000 0.000 0.000
Co 0.644 1.858 3.176
Co 3.086 1.858 2.582
As 1.865 0.000 2.879

---

Entry 18:
4
Lattice="-1.458 2.199 4.383 1.458 -2.199 4.383 1.458 2.199 -4.383" Properties=species:S:1:pos:R:3 comment="Tc2PW (PBE, optimized geometry)" delta_e_f_ev_per_atom=-0.1919 m_tot_mub_per_fu=0.00 pbc="T T T"
Tc 0.000 0.000 1.898
Tc 0.000 0.000 6.868
P 1.458 0.000 0.000
W 0.000 2.199 0.000

---

Entry 19:
6
Lattice="4.318 0.000 0.000 -2.159 3.740 0.000 0.000 0.000 6.987" Properties=species:S:1:pos:R:3 comment="LiThZn2Ge2 (PBE, optimized geometry)" delta_e_f_ev_per_atom=-0.4373 m_tot_mub_per_fu=0.00 pbc="T T T"
Li 0.000 0.000 0.000
Th 0.000 0.000 3.493
Zn 0.000 2.493 1.223
Zn 2.159 1.247 5.764
Ge 0.000 2.493 5.353
Ge 2.159 1.247 1.634

---

Entry 20:
5
Lattice="5.292 0.000 0.000 0.000 5.292 0.000 0.000 0.000 6.250" Properties=species:S:1:pos:R:3 comment="RbTlWS2 (PBE, optimized geometry)" m_tot_mub_per_fu=5.27 raw_formation_energy_ev_per_atom=1.570 pbc="T T T"
Rb 0.000 0.000 0.000
Tl 0.000 0.000 3.125
W 2.646 2.646 0.000
S 0.000 2.646 3.125
S 2.646 0.000 3.125